# 1
# As2AuSe

A relaxed structure of As2AuSe (PBE, the Alexandria database). Values from VASP.

Properties
SG: No. 123

```
&SYSTEM
  ibrav = 0, nat = 4, ntyp = 3
/
ATOMIC_SPECIES
As 74.92 As.upf
Au 196.97 Au.upf
Se 78.96 Se.upf
CELL_PARAMETERS angstrom
5.4006 0.0000 0.0000
0.0000 5.4006 0.0000
0.0000 0.0000 2.7427
ATOMIC_POSITIONS crystal
As 0.0000 0.5000 0.0000
As 0.5000 0.0000 0.0000
Au 0.0000 0.0000 0.5000
Se 0.5000 0.5000 0.5000
```


# 2
# AsAuSe

A relaxed structure of AsAuSe (PBE, the Alexandria database). Values from VASP.

Properties
SG: No. 1

```
&SYSTEM
  ibrav = 0, nat = 6, ntyp = 3
/
ATOMIC_SPECIES
As 74.92 As.upf
Au 196.97 Au.upf
Se 78.96 Se.upf
CELL_PARAMETERS angstrom
3.8600 0.0000 0.0000
-0.0085 4.9767 0.0000
-0.0025 -0.2056 6.7277
ATOMIC_POSITIONS crystal
As 0.0000 0.0000 0.0000
As 0.4895 0.6750 0.8469
Au 0.4973 0.9485 0.5368
Au 0.9976 0.3139 0.7155
Se 0.0002 0.6019 0.4031
Se 0.4856 0.2488 0.2221
```


# 3
# AsAu2Se

A relaxed structure of AsAu2Se (PBE, the Alexandria database). Values from VASP.

Properties
SG: No. 122

```
&SYSTEM
  ibrav = 0, nat = 16, ntyp = 3
/
ATOMIC_SPECIES
As 74.92 As.upf
Au 196.97 Au.upf
Se 78.96 Se.upf
CELL_PARAMETERS angstrom
6.3633 0.0000 0.0000
0.0000 6.3633 0.0000
0.0000 0.0000 9.8434
ATOMIC_POSITIONS crystal
As 0.0000 0.0000 0.0000
As 0.0000 0.5000 0.2500
As 0.5000 0.0000 0.7500
As 0.5000 0.5000 0.5000
Au 0.2375 0.2500 0.1250
Au 0.2500 0.7375 0.3750
Au 0.2500 0.7625 0.8750
Au 0.2625 0.2500 0.6250
Au 0.7375 0.7500 0.6250
Au 0.7500 0.2375 0.8750
Au 0.7500 0.2625 0.3750
Au 0.7625 0.7500 0.1250
Se 0.0000 0.0000 0.5000
Se 0.0000 0.5000 0.7500
Se 0.5000 0.0000 0.2500
Se 0.5000 0.5000 0.0000
```


# 4
# AsAu2Se

A relaxed structure of AsAu2Se (PBE, the Alexandria database). Values from VASP.

Properties
SG: No. 216

```
&SYSTEM
  ibrav = 0, nat = 16, ntyp = 3
/
ATOMIC_SPECIES
As 74.92 As.upf
Au 196.97 Au.upf
Se 78.96 Se.upf
CELL_PARAMETERS angstrom
6.7875 0.0000 0.0000
0.0000 6.7875 0.0000
0.0000 0.0000 6.7875
ATOMIC_POSITIONS crystal
As 0.0000 0.0000 0.0000
As 0.0000 0.5000 0.5000
As 0.5000 0.0000 0.5000
As 0.5000 0.5000 0.0000
Au 0.0000 0.0000 0.5000
Au 0.0000 0.5000 0.0000
Au 0.2500 0.2500 0.2500
Au 0.2500 0.7500 0.7500
Au 0.5000 0.0000 0.0000
Au 0.5000 0.5000 0.5000
Au 0.7500 0.2500 0.7500
Au 0.7500 0.7500 0.2500
Se 0.2500 0.2500 0.7500
Se 0.2500 0.7500 0.2500
Se 0.7500 0.2500 0.2500
Se 0.7500 0.7500 0.7500
```


# 5
# AsAuSe

A relaxed structure of AsAuSe (PBE, the Alexandria database). Values from VASP.

Properties
SG: No. 216

```
&SYSTEM
  ibrav = 0, nat = 12, ntyp = 3
/
ATOMIC_SPECIES
As 74.92 As.upf
Au 196.97 Au.upf
Se 78.96 Se.upf
CELL_PARAMETERS angstrom
6.5130 0.0000 0.0000
0.0000 6.5130 0.0000
0.0000 0.0000 6.5130
ATOMIC_POSITIONS crystal
As 0.0000 0.0000 0.0000
As 0.0000 0.5000 0.5000
As 0.5000 0.0000 0.5000
As 0.5000 0.5000 0.0000
Au 0.2500 0.2500 0.7500
Au 0.2500 0.7500 0.2500
Au 0.7500 0.2500 0.2500
Au 0.7500 0.7500 0.7500
Se 0.2500 0.2500 0.2500
Se 0.2500 0.7500 0.7500
Se 0.7500 0.2500 0.7500
Se 0.7500 0.7500 0.2500
```


# 6
# AsAuSe

A relaxed structure of AsAuSe (PBE, the Alexandria database). Values from VASP.

Properties
SG: No. 44

```
&SYSTEM
  ibrav = 0, nat = 6, ntyp = 3
/
ATOMIC_SPECIES
As 74.92 As.upf
Au 196.97 Au.upf
Se 78.96 Se.upf
CELL_PARAMETERS angstrom
2.9027 0.0000 0.0000
0.0000 4.5547 0.0000
0.0000 0.0000 11.6906
ATOMIC_POSITIONS crystal
As 0.0000 0.0000 0.0000
As 0.5000 0.5000 0.5000
Au 0.0000 0.0000 0.4633
Au 0.5000 0.5000 0.9633
Se 0.0000 0.0000 0.2056
Se 0.5000 0.5000 0.7056
```


# 7
# As2AuSe

A relaxed structure of As2AuSe (PBE, the Alexandria database). Values from VASP.

Properties
SG: No. 122

```
&SYSTEM
  ibrav = 0, nat = 16, ntyp = 3
/
ATOMIC_SPECIES
As 74.92 As.upf
Au 196.97 Au.upf
Se 78.96 Se.upf
CELL_PARAMETERS angstrom
5.8482 0.0000 0.0000
0.0000 5.8482 0.0000
0.0000 0.0000 12.5414
ATOMIC_POSITIONS crystal
As 0.2315 0.2500 0.1250
As 0.2500 0.7315 0.3750
As 0.2500 0.7685 0.8750
As 0.2685 0.2500 0.6250
As 0.7315 0.7500 0.6250
As 0.7500 0.2315 0.8750
As 0.7500 0.2685 0.3750
As 0.7685 0.7500 0.1250
Au 0.0000 0.0000 0.0000
Au 0.0000 0.5000 0.2500
Au 0.5000 0.0000 0.7500
Au 0.5000 0.5000 0.5000
Se 0.0000 0.0000 0.5000
Se 0.0000 0.5000 0.7500
Se 0.5000 0.0000 0.2500
Se 0.5000 0.5000 0.0000
```


# 8
# AsAuSe

A relaxed structure of AsAuSe (PBE, the Alexandria database). Values from VASP.

Properties
SG: No. 1

```
&SYSTEM
  ibrav = 0, nat = 6, ntyp = 3
/
ATOMIC_SPECIES
As 74.92 As.upf
Au 196.97 Au.upf
Se 78.96 Se.upf
CELL_PARAMETERS angstrom
4.1023 0.0000 0.0000
-0.3117 4.7031 0.0000
-0.7291 -0.8049 7.4824
ATOMIC_POSITIONS crystal
As 0.0000 0.0000 0.0000
As 0.4860 0.3563 0.9963
Au 0.2910 0.6876 0.2474
Au 0.7340 0.2685 0.3144
Se 0.1741 0.0540 0.5074
Se 0.8931 0.7529 0.6985
```


# 9
# As2AuSe

A relaxed structure of As2AuSe (PBE, the Alexandria database). Values from VASP.

Properties
SG: No. 10

```
&SYSTEM
  ibrav = 0, nat = 4, ntyp = 3
/
ATOMIC_SPECIES
As 74.92 As.upf
Au 196.97 Au.upf
Se 78.96 Se.upf
CELL_PARAMETERS angstrom
2.7904 0.0000 0.0000
0.0000 3.8043 0.0000
-0.2898 0.0000 7.8478
ATOMIC_POSITIONS crystal
As 0.0131 0.0000 0.2620
As 0.9869 0.0000 0.7380
Au 0.0000 0.5000 0.5000
Se 0.0000 0.5000 0.0000
```


# 10
# AsAuSe

A relaxed structure of AsAuSe (PBE, the Alexandria database). Values from VASP.

Properties
SG: No. 1

```
&SYSTEM
  ibrav = 0, nat = 6, ntyp = 3
/
ATOMIC_SPECIES
As 74.92 As.upf
Au 196.97 Au.upf
Se 78.96 Se.upf
CELL_PARAMETERS angstrom
4.4148 0.0000 0.0000
-1.6870 5.7509 0.0000
-2.1524 -1.7472 5.3177
ATOMIC_POSITIONS crystal
As 0.0000 0.0000 0.0000
As 0.1335 0.4819 0.1432
Au 0.5536 0.9691 0.2922
Au 0.8759 0.4727 0.4573
Se 0.1171 0.9560 0.6207
Se 0.6362 0.4887 0.7935
```


# 11
# AsAuSe

A relaxed structure of AsAuSe (PBE, the Alexandria database). Values from VASP.

Properties
SG: No. 1

```
&SYSTEM
  ibrav = 0, nat = 3, ntyp = 3
/
ATOMIC_SPECIES
As 74.92 As.upf
Au 196.97 Au.upf
Se 78.96 Se.upf
CELL_PARAMETERS angstrom
3.8552 0.0000 0.0000
1.9083 4.0239 0.0000
0.0007 0.1363 4.6017
ATOMIC_POSITIONS crystal
As 0.0000 0.0000 0.0000
Au 0.6112 0.7749 0.7006
Se 0.2186 0.5572 0.3755
```


# 12
# AsAuSe

A relaxed structure of AsAuSe (PBE, the Alexandria database). Values from VASP.

Properties
SG: No. 1

```
&SYSTEM
  ibrav = 0, nat = 6, ntyp = 3
/
ATOMIC_SPECIES
As 74.92 As.upf
Au 196.97 Au.upf
Se 78.96 Se.upf
CELL_PARAMETERS angstrom
4.3883 0.0000 0.0000
-0.7216 5.3749 0.0000
-2.0153 -0.4026 5.7107
ATOMIC_POSITIONS crystal
As 0.0000 0.0000 0.0000
As 0.3308 0.5110 0.6574
Au 0.0667 0.5109 0.9637
Au 0.7336 0.9808 0.3092
Se 0.4853 0.9680 0.6416
Se 0.8198 0.4905 0.2957
```


# 13
# As2AuSe

A relaxed structure of As2AuSe (PBE, the Alexandria database). Values from VASP.

Properties
SG: No. 12

```
&SYSTEM
  ibrav = 0, nat = 8, ntyp = 3
/
ATOMIC_SPECIES
As 74.92 As.upf
Au 196.97 Au.upf
Se 78.96 Se.upf
CELL_PARAMETERS angstrom
7.9525 0.0000 0.0000
0.0000 2.7704 0.0000
-0.5712 0.0000 7.7222
ATOMIC_POSITIONS crystal
As 0.2009 0.0000 0.2873
As 0.2991 0.5000 0.7127
As 0.7009 0.5000 0.2873
As 0.7991 0.0000 0.7127
Au 0.0000 0.5000 0.5000
Au 0.5000 0.0000 0.5000
Se 0.0000 0.0000 0.0000
Se 0.5000 0.5000 0.0000
```


# 14
# AsAu2Se

A relaxed structure of AsAu2Se (PBE, the Alexandria database). Values from VASP.

Properties
SG: No. 8

```
&SYSTEM
  ibrav = 0, nat = 8, ntyp = 3
/
ATOMIC_SPECIES
As 74.92 As.upf
Au 196.97 Au.upf
Se 78.96 Se.upf
CELL_PARAMETERS angstrom
8.2345 0.0000 0.0000
0.0000 2.8430 0.0000
-0.7803 0.0000 7.2384
ATOMIC_POSITIONS crystal
As 0.0000 0.0000 0.0000
As 0.5000 0.5000 0.0000
Au 0.0618 0.5000 0.5357
Au 0.2803 0.0000 0.7868
Au 0.5618 0.0000 0.5357
Au 0.7803 0.5000 0.7868
Se 0.3516 0.5000 0.2902
Se 0.8516 0.0000 0.2902
```


# 15
# AsAu2Se

A relaxed structure of AsAu2Se (PBE, the Alexandria database). Values from VASP.

Properties
SG: No. 123

```
&SYSTEM
  ibrav = 0, nat = 4, ntyp = 3
/
ATOMIC_SPECIES
As 74.92 As.upf
Au 196.97 Au.upf
Se 78.96 Se.upf
CELL_PARAMETERS angstrom
2.8410 0.0000 0.0000
0.0000 2.8410 0.0000
0.0000 0.0000 9.7345
ATOMIC_POSITIONS crystal
As 0.0000 0.0000 0.0000
Au 0.5000 0.5000 0.2340
Au 0.5000 0.5000 0.7660
Se 0.0000 0.0000 0.5000
```


Number 1: density 8.84 Mg/m³, ΔE_f (raw) 393.8 meV/atom. Number 2: density 9.02 Mg/m³, ΔE_f (raw) 47.5 meV/atom. Number 3: density 9.13 Mg/m³, ΔE_f (raw) 152.5 meV/atom. Number 4: density 11.64 Mg/m³, ΔE_f (raw) 404.0 meV/atom. Number 5: density 8.44 Mg/m³, ΔE_f (raw) 345.2 meV/atom. Number 6: density 7.54 Mg/m³, ΔE_f (raw) 143.0 meV/atom. Number 7: density 6.59 Mg/m³, ΔE_f (raw) 223.2 meV/atom. Number 8: density 8.07 Mg/m³, ΔE_f (raw) 48.8 meV/atom. Number 9: density 8.49 Mg/m³, ΔE_f (raw) 73.2 meV/atom. Number 10: density 8.63 Mg/m³, ΔE_f (raw) -23.1 meV/atom. Number 11: density 8.16 Mg/m³, ΔE_f (raw) -61.9 meV/atom. Number 12: density 8.65 Mg/m³, ΔE_f (raw) -31.2 meV/atom. Number 13: density 8.31 Mg/m³, ΔE_f (raw) 121.5 meV/atom. Number 14: density 10.74 Mg/m³, ΔE_f (raw) 91.2 meV/atom. Number 15: density 11.58 Mg/m³, ΔE_f (raw) 301.0 meV/atom.